# Ag5Pd2Pt, relaxed, DFT GGA-PBE
data_Ag5Pd2Pt
_chemical_formula_sum 'Ag10 Pd4 Pt2'
_symmetry_space_group_name_H-M 'I m m m'
_symmetry_Int_Tables_number 71
_symmetry_space_group_name_Hall '-I 2 2'
_cell_length_a 2.786
_cell_length_b 9.182
_cell_length_c 10.660
_cell_angle_alpha 90.00
_cell_angle_beta 90.00
_cell_angle_gamma 90.00
loop_
_atom_site_label
_atom_site_fract_x
_atom_site_fract_y
_atom_site_fract_z
Ag1 0.000 0.000 0.000
Ag2 0.000 0.267 0.371
Pd1 0.000 0.000 0.264
Pt1 0.000 0.500 0.000
# Total magnetic moment (μB/cell): 0.0
# E above lowest polymorph (eV/atom): 0.060
# Formation energy (eV/atom): 0.042
# Uncorrected energy (eV for the cell shown): -60.69